14
Lattice="-3.442 6.360 2.866 3.442 -6.360 2.866 3.442 6.360 -2.866" Properties=species:S:1:pos:R:3 comment="Pd2Au5 | the Alexandria database | PBE | relaxed" de_polymorph_ev_per_atom=0.0735 crystal_system=orthorhombic pbc="T T T"
Pd 1.463 1.465 0.000
Pd 1.463 -1.465 2.866
Pd 1.979 7.825 0.000
Pd 1.979 4.894 2.866
Au 3.442 -2.923 1.433
Au 5.557 1.338 0.000
Au 3.442 0.000 1.433
Au 2.115 5.021 0.000
Au 3.442 2.923 1.433
Au 0.000 3.437 1.433
Au 1.327 1.338 2.866
Au 0.000 6.360 1.433
Au -2.115 5.021 2.866
Au 0.000 9.283 1.433

=====

16
Lattice="6.573 0.000 0.000 0.000 3.840 0.000 0.000 0.000 9.773" Properties=species:S:1:pos:R:3 comment="HoBe2Ir | the Alexandria database | PBE | relaxed" de_polymorph_ev_per_atom=0.0397 crystal_system=orthorhombic pbc="T T T"
Ho 1.136 0.960 1.315
Ho 2.151 2.880 6.202
Ho 4.422 0.960 3.571
Ho 5.438 2.880 8.458
Be 1.014 0.960 7.946
Be 1.302 0.960 4.122
Be 1.985 2.880 9.009
Be 2.273 2.880 3.059
Be 4.300 0.960 6.714
Be 4.588 0.960 0.764
Be 5.272 2.880 5.651
Be 5.560 2.880 1.827
Ir 0.131 2.880 3.772
Ir 3.156 0.960 8.658
Ir 3.418 2.880 1.115
Ir 6.442 0.960 6.001

=====

4
Lattice="0.000 3.846 3.846 3.846 0.000 3.846 3.846 3.846 0.000" Properties=species:S:1:pos:R:3 comment="PrPuCdSn | the Alexandria database | PBE | relaxed" crystal_system=cubic pbc="T T T"
Pr 0.000 0.000 0.000
Pu 3.846 3.846 3.846
Cd 1.923 1.923 1.923
Sn 5.769 5.769 5.769

=====

8
Lattice="5.800 0.000 0.000 0.000 5.800 0.000 0.000 0.000 5.800" Properties=species:S:1:pos:R:3 comment="SmTm3As4 | the Alexandria database | PBE | relaxed" crystal_system=cubic pbc="T T T"
Sm 0.000 0.000 0.000
Tm 0.000 2.900 2.900
Tm 2.900 0.000 2.900
Tm 2.900 2.900 0.000
As 0.000 0.000 2.900
As 0.000 2.900 0.000
As 2.900 0.000 0.000
As 2.900 2.900 2.900

=====

5
Lattice="3.872 0.000 0.000 0.000 3.872 0.000 0.000 0.000 5.055" Properties=species:S:1:pos:R:3 comment="CoAgGeC2 | the Alexandria database | PBE | relaxed" crystal_system=tetragonal pbc="T T T"
Co 0.000 0.000 0.000
Ag 1.936 1.936 0.000
Ge 1.936 1.936 2.528
C 0.000 1.936 2.528
C 1.936 0.000 2.528

=====

| no. | final energy (eV/atom) | DFT formation energy (meV per atom) |
| --- | --- | --- |
| 1 | -3.81 | 14 |
| 2 | -5.71 | -486 |
| 3 | -6.33 | -324 |
| 4 | -6.09 | -1501 |
| 5 | -4.31 | 2290 |